Compound: LaTbTl
Source: OQMD
Functional: PBE
Structure: optimized geometry

Lattice parameters (Å, degrees): 5.3163 5.3163 5.3163 60.00 60.00 60.00
Fractional positions:
Tl 0.0000 0.0000 0.0000
La 0.2500 0.2500 0.2500
Tb 0.7500 0.7500 0.7500

**Total moment**: 0.95 μB per cell
**Energy relative to the lowest polymorph listed for this composition**: 0.000 eV/f.u.
**DFT total energy**: -4.033 eV/atom

=====

Compound: ReNi5
Source: OQMD
Functional: PBE
Structure: optimized geometry

Lattice parameters (Å, degrees): 4.7761 4.7761 7.4946 90.00 90.00 121.94
Fractional positions:
Re 0.8179 0.1821 0.7500
Re 0.1821 0.8179 0.2500
Ni 0.6669 0.8203 0.2500
Ni 0.3235 0.6765 0.5720
Ni 0.6765 0.3235 0.0720
Ni 0.0000 0.0000 0.0000
Ni 0.3235 0.6765 0.9280
Ni 0.3331 0.1797 0.7500
Ni 0.1797 0.3331 0.2500
Ni 0.8203 0.6669 0.7500
Ni 0.0000 0.0000 0.5000
Ni 0.6765 0.3235 0.4280

**Formation energy**: 1.7 eV per formula unit
**Total moment**: 0.05 μB per cell
**Energy relative to the lowest polymorph listed for this composition**: 0.791 eV/f.u.
**DFT total energy**: -6.420 eV/atom

=====

Compound: TmAlSiPt
Source: OQMD
Functional: PBE
Structure: optimized geometry

Lattice parameters (Å, degrees): 6.5007 6.5007 6.7831 90.00 90.00 133.59
Fractional positions:
Si 0.5975 0.4025 0.1825
Si 0.4025 0.5975 0.1825
Tm 0.8408 0.1592 0.4083
Tm 0.1592 0.8408 0.4083
Al 0.6999 0.3001 0.8682
Al 0.3001 0.6999 0.8682
Pt 0.6162 0.3838 0.5409
Pt 0.3838 0.6162 0.5409

**Total moment**: 0.00 μB per cell
**Energy relative to the lowest polymorph listed for this composition**: 1.587 eV/f.u.
**DFT total energy**: -5.128 eV/atom

=====

Compound: NbTlCoPt
Source: OQMD
Functional: PBE
Structure: optimized geometry

Lattice parameters (Å, degrees): 4.5672 4.5672 4.5672 60.00 60.00 60.00
Fractional positions:
Tl 0.0000 0.0000 0.0000
Nb 0.2500 0.2500 0.2500
Co 0.7500 0.7500 0.7500
Pt 0.5000 0.5000 0.5000

**Total moment**: 0.10 μB per cell
**Energy relative to the lowest polymorph listed for this composition**: 0.478 eV/f.u.
**DFT total energy**: -6.180 eV/atom

=====

Question: What is the DFT total energy in the first record?
Answer: -4.033 eV/atom